Entry from Alexandria via LeMat-Bulk: an optimized crystal structure of RbAl2AuBr8 (PBE-GGA).

Values from the calculation:
As for the density: 3.898 g/cm³. Its uncorrected formation energy is -1.027 eV/atom.

Lattice parameters (Å, degrees): 6.9111 6.9111 10.0479 90.00 90.00 120.00
Last column: nearest neighbours and their distance in Å.
Sites, in units of the cell vectors:
Rb 0.0000 0.0000 0.0000  12 Br 3.98-4.00
Al 0.6667 0.3333 0.2524  4 Br 2.33-2.34
Al 0.3333 0.6667 0.7476  4 Br 2.33-2.34
Au 0.0000 0.0000 0.5000  6 Br 2.91
Br 0.3333 0.6667 0.9792  1 Al 2.33
Br 0.3401 0.3255 0.3229  1 Al 2.34
Br 0.6745 0.0146 0.3229  1 Al 2.34
Br 0.6667 0.3333 0.0208  1 Al 2.33
Br 0.3255 0.9854 0.6771  1 Al 2.34
Br 0.6599 0.6745 0.6771  1 Al 2.34
Br 0.0146 0.3401 0.6771  1 Al 2.34
Br 0.9854 0.6599 0.3229  1 Al 2.34